Entry 1:
A PBEsol-optimized structure of Ba2SiRh, computed with meta-GGA SCAN.

Output
Crystal system   orthorhombic
ΔE_f (raw)   94.0 meV per atom

Unit cell a=3.9433 b=4.0362 c=6.8061 alpha=90.00 beta=90.04 gamma=90.00
Last column: nearest neighbours and their distance in Å.
Positions (direct):
Si 0.5000 0.5000 0.5000  8 Ba 3.32, 2 Rh 3.40
Ba 0.0007 0.0000 0.7581  4 Rh 3.26-3.27, 2 Ba 3.29-3.51, 4 Si 3.32
Ba 0.9993 0.0000 0.2419  4 Rh 3.26-3.27, 2 Ba 3.29-3.51, 4 Si 3.32
Rh 0.5000 0.5000 0.0000  8 Ba 3.26-3.27, 2 Si 3.40

Entry 2:
A PBEsol-optimized structure of BaY2SnRh, computed with meta-GGA SCAN.

Output
Crystal system   tetragonal
Energy of formation from the pure elements   8.39 eV/f.u.

Unit cell a=5.4460 b=5.4460 c=5.6135 alpha=90.00 beta=90.00 gamma=90.00
Last column: nearest neighbours and their distance in Å.
Positions (direct):
Y 0.0000 0.5000 0.0000  2 Ba 2.72
Y 0.5000 0.0000 0.0000  2 Ba 2.72
Ba 0.0000 0.0000 0.0000  4 Y 2.72, 2 Sn 2.81
Sn 0.0000 0.0000 0.5000  2 Ba 2.81
Rh 0.5000 0.5000 0.5000  4 Sn 3.85, 8 Y 3.91

Entry 3:
A PBEsol-optimized structure of BaSr3Rh, computed with meta-GGA SCAN.

Output
ΔE to the lowest computed polymorph   0.00 eV/f.u.
Crystal system   orthorhombic
Energy of formation from the pure elements   -0.95 eV/f.u.

Unit cell a=6.9888 b=8.4420 c=8.4920 alpha=60.19 beta=90.00 gamma=90.00
Last column: nearest neighbours and their distance in Å.
Positions (direct):
Sr 0.1713 0.9121 0.1757  1 Rh 2.90
Sr 0.6713 0.0879 0.8243  1 Rh 2.90
Sr 0.1933 0.9247 0.6553  2 Rh 2.97
Sr 0.1933 0.4200 0.6553  2 Rh 2.97
Sr 0.6933 0.5800 0.3447  2 Rh 2.97
Sr 0.6933 0.0753 0.3447  2 Rh 2.97
Ba 0.7142 0.5867 0.8267  1 Rh 2.86
Ba 0.2142 0.4133 0.1733  1 Rh 2.86
Rh 0.4426 0.2522 0.4955  1 Ba 2.86, 5 Sr 2.90-2.97
Rh 0.9426 0.7478 0.5045  1 Ba 2.86, 5 Sr 2.90-2.97

Entry 4:
A PBEsol-optimized structure of BaSrRh, computed with meta-GGA SCAN.

Output
ΔE to the lowest computed polymorph   0.12 eV/f.u.
Crystal system   orthorhombic
Energy of formation from the pure elements   -0.28 eV/f.u.

Unit cell a=3.7120 b=3.7120 c=7.8396 alpha=103.74 beta=103.72 gamma=89.90
Last column: nearest neighbours and their distance in Å.
Positions (direct):
Sr 0.2827 0.2828 0.5654  4 Rh 3.11, 1 Ba 3.47
Ba 0.0479 0.0479 0.0957  4 Rh 3.18, 1 Sr 3.47
Rh 0.6694 0.6694 0.3389  4 Sr 3.11, 4 Ba 3.18

Entry 5:
A PBEsol-optimized structure of BaSrRh4, computed with meta-GGA SCAN.

Output
Crystal system   cubic
Energy of formation from the pure elements   -1.00 eV/f.u.

Unit cell a=5.4532 b=5.4532 c=5.4532 alpha=60.00 beta=60.00 gamma=60.00
Last column: nearest neighbours and their distance in Å.
Positions (direct):
Sr 0.7500 0.7500 0.7500  12 Rh 3.20, 4 Ba 3.34
Rh 0.8741 0.3753 0.3753  6 Rh 2.72-2.73
Rh 0.3753 0.3753 0.3753  6 Rh 2.72-2.73
Rh 0.3753 0.3753 0.8741  6 Rh 2.72-2.73
Rh 0.3753 0.8741 0.3753  6 Rh 2.72-2.73
Ba 0.0000 0.0000 0.0000  12 Rh 3.20, 4 Sr 3.34

Entry 6:
A PBEsol-optimized structure of BaSrRh3, computed with meta-GGA SCAN.

Output
Crystal system   cubic
Energy of formation from the pure elements   5.37 eV/f.u.

Unit cell a=5.0612 b=5.0612 c=5.0612 alpha=90.00 beta=90.00 gamma=90.00
Last column: nearest neighbours and their distance in Å.
Positions (direct):
Rh 0.0000 0.5000 0.0000  2 Ba 2.53
Rh 0.0000 0.0000 0.5000  2 Ba 2.53
Rh 0.5000 0.0000 0.0000  2 Ba 2.53
Sr 0.5000 0.5000 0.5000  12 Rh 3.58
Ba 0.0000 0.0000 0.0000  6 Rh 2.53

Entry 7:
A PBEsol-optimized structure of BaSr2Rh, computed with meta-GGA SCAN.

Output
ΔE to the lowest computed polymorph   0.04 eV/f.u.
Crystal system   monoclinic
Energy of formation from the pure elements   -0.45 eV/f.u.

Unit cell a=4.0546 b=6.1734 c=7.4928 alpha=65.07 beta=74.30 gamma=70.83
Last column: nearest neighbours and their distance in Å.
Positions (direct):
Sr 0.2452 0.3290 0.1806  2 Rh 2.93
Sr 0.0641 0.9884 0.8835  3 Rh 3.21-3.35
Ba 0.4120 0.6178 0.5582  2 Rh 3.00
Rh 0.7787 0.5648 0.8778  4 Sr 2.93-3.21, 2 Ba 3.00

Entry 8:
A PBEsol-optimized structure of BaSr3Rh, computed with meta-GGA SCAN.

Output
ΔE to the lowest computed polymorph   0.27 eV/f.u.
Crystal system   cubic
Energy of formation from the pure elements   -0.68 eV/f.u.

Unit cell a=5.9067 b=5.9067 c=5.9067 alpha=90.00 beta=90.00 gamma=90.00
Last column: nearest neighbours and their distance in Å.
Positions (direct):
Rh 0.0000 0.0000 0.0000  6 Sr 2.95
Sr 0.5000 0.0000 0.0000  2 Rh 2.95
Sr 0.0000 0.5000 0.0000  2 Rh 2.95
Sr 0.0000 0.0000 0.5000  2 Rh 2.95
Ba 0.5000 0.5000 0.5000  12 Sr 4.18